## InHgHN2 (PBEsol)

Data for an optimized crystal structure of InHgHN2.

Computed properties:
The electronic total energy is -3.205 eV/atom. As for the symmetry: P4/mmm. Its crystal system is tetragonal.

a b c (Å): 4.1699 4.1699 3.4158
angles (deg): 90.00 90.00 90.00
Sites, in units of the cell vectors:
In 0.0000 0.0000 0.0000
Hg 0.5000 0.5000 0.0000
H 0.5000 0.5000 0.5000
N 0.0000 0.5000 0.5000
N 0.5000 0.0000 0.5000